MgTaCdGe2 | PBE | relaxed

The formation energy is 1.236 eV per atom. As for the calculated total energy: -3.483 eV per atom. The symmetry is P4/mmm.

Cell lengths 4.8017, 5.1414, 4.8017 Å; angles 90.00, 90.00, 90.00 degrees
Closest atoms and distances in Å follow each position.
Sites, in units of the cell vectors:
Ge (0.0000, 0.0000, 0.5000)  2 Mg 2.40
Ge (0.5000, 0.0000, 0.0000)  2 Mg 2.40
Cd (0.5000, 0.5000, 0.5000)  4 Ta 3.40, 8 Ge 3.52
Mg (0.0000, 0.0000, 0.0000)  4 Ge 2.40, 2 Ta 2.57
Ta (0.0000, 0.5000, 0.0000)  2 Mg 2.57